# 1
Here is a relaxed Li3TlAg3 crystal from the Alexandria database. Energies are from PBE.

a b c (Å): 8.0342 8.0342 8.0342
angles (deg): 90.00 90.00 90.00
Closest atoms and distances in Å follow each position.
Space group P2_13 (No. 198)
One atom of each set of equivalent atoms:
Li (0.0236, 0.3082, 0.8810) x12  6 Ag 2.75-2.92, 2 Tl 2.93-2.97
Tl (0.0471, 0.4529, 0.5471) x4  6 Li 2.93-2.97, 4 Ag 2.94-3.03
Ag (0.1324, 0.6324, 0.8676) x4  6 Li 2.75, 1 Ag 2.83, 3 Tl 3.03
Ag (0.1641, 0.1641, 0.1641) x4  6 Li 2.79-2.92, 4 Ag 2.83-2.98, 1 Tl 2.94
Ag (0.1651, 0.8349, 0.3349) x4  6 Li 2.75-2.78, 3 Ag 2.98

Properties
formation energy from the elements	-0.115	eV/atom
energy above the lowest structure with this stoichiometry	0.0	meV/atom
energy	-69.88	eV/cell



# 2
Here is a relaxed Li4TlAg3 crystal from the Alexandria database. Energies are from PBE.

a b c (Å): 15.1981 4.3953 4.4442
angles (deg): 90.00 106.98 90.00
Closest atoms and distances in Å follow each position.
Space group C2/m (No. 12)
One atom of each set of equivalent atoms:
Li (0.1301, 0.0000, 0.1305) x4  4 Li 2.79-2.84, 4 Ag 2.90-3.13, 2 Tl 2.92
Li (0.2487, 0.5000, 0.2485) x4  4 Ag 2.72-2.73, 4 Li 2.79-2.84
Tl (0.0000, 0.0000, 0.5000) x2  4 Li 2.92, 8 Ag 3.00-3.13
Ag (0.0000, 0.5000, 0.0000) x2  4 Li 2.90, 4 Ag 3.01-3.02, 4 Tl 3.13
Ag (0.1405, 0.5000, 0.6417) x4  4 Li 2.72-2.73, 2 Tl 3.00, 2 Ag 3.01-3.02

Properties
formation energy from the elements	-0.140	eV/atom
energy above the lowest structure with this stoichiometry	67.8	meV/atom
energy	-39.39	eV/cell



# 3
Here is a relaxed LiTlAg2 crystal from the Alexandria database. Energies are from PBE.

a b c (Å): 3.0114 4.7264 5.5276
angles (deg): 90.00 98.08 90.00
Closest atoms and distances in Å follow each position.
Space group P2/m (No. 10)
One atom of each set of equivalent atoms:
Li (0.0000, 0.0000, 0.0000) x1  4 Ag 2.79, 2 Tl 2.96, 2 Li 3.01
Tl (0.5000, 0.0000, 0.5000) x1  2 Li 2.96, 4 Ag 3.00, 2 Tl 3.01
Ag (0.2147, 0.5000, 0.7733) x2  2 Li 2.79, 5 Ag 2.83-3.12, 2 Tl 3.00

Properties
formation energy from the elements	-0.054	eV/atom
energy	-10.20	eV/cell



# 4
Here is a relaxed LiTl2Ag2 crystal from the Alexandria database. Energies are from PBE.

a b c (Å): 4.4782 4.4782 13.2273
angles (deg): 90.00 90.00 90.00
Closest atoms and distances in Å follow each position.
Space group I4/mmm (No. 139)
One atom of each set of equivalent atoms:
Li (0.0000, 0.0000, 0.0000) x2  8 Ag 3.43
Tl (0.0000, 0.5000, 0.2500) x4  4 Ag 2.99, 4 Tl 3.17
Ag (0.0000, 0.0000, 0.3996) x4  1 Ag 2.66

Properties
formation energy from the elements	0.167	eV/atom
energy above the lowest structure with this stoichiometry	139.2	meV/atom
energy	-23.02	eV/cell



# 5
Here is a relaxed Li3Tl4Ag crystal from the Alexandria database. Energies are from PBE.

a b c (Å): 4.7847 4.7847 7.5733
angles (deg): 90.00 90.00 90.00
Closest atoms and distances in Å follow each position.
Space group P4/mmm (No. 123)
One atom of each set of equivalent atoms:
Li (0.0000, 0.0000, 0.0000) x1  8 Tl 3.02, 4 Li 3.38
Li (0.0000, 0.0000, 0.5000) x1  8 Tl 3.08, 4 Ag 3.38
Li (0.5000, 0.5000, 0.0000) x1  8 Tl 3.02, 4 Li 3.38
Tl (0.0000, 0.5000, 0.2439) x4  6 Li 3.02-3.08, 2 Ag 3.08, 4 Tl 3.38
Ag (0.5000, 0.5000, 0.5000) x1  8 Tl 3.08, 4 Li 3.38

Properties
formation energy from the elements	-0.144	eV/atom
energy	-19.21	eV/cell



# 6
Here is a relaxed Li4TlAg7 crystal from the Alexandria database. Energies are from PBE.

a b c (Å): 5.1496 5.7814 7.7343
angles (deg): 77.72 71.36 89.42
Closest atoms and distances in Å follow each position.
Space group P-1 (No. 2)
One atom of each set of equivalent atoms:
Li (0.1638, 0.1670, 0.3352) x2  8 Ag 2.78-3.00, 3 Li 2.88-3.02, 1 Tl 2.97
Li (0.3241, 0.5771, 0.6712) x2  9 Ag 2.84-2.94, 3 Li 2.91-3.02
Tl (0.5000, 0.0000, 0.0000) x1  10 Ag 2.89-3.04, 2 Li 2.97
Ag (0.0007, 0.7436, 0.9975) x2  7 Ag 2.81-3.06, 3 Li 2.85-2.90, 2 Tl 2.96-2.99
Ag (0.1644, 0.6616, 0.3449) x2  5 Ag 2.77-3.01, 6 Li 2.84-2.94, 1 Tl 2.97
Ag (0.3317, 0.0907, 0.6502) x2  6 Li 2.78-3.00, 5 Ag 2.82-3.06, 1 Tl 3.04
Ag (0.5000, 0.5000, 0.0000) x1  2 Tl 2.89, 4 Li 2.91-2.92, 6 Ag 2.92-3.01

Properties
formation energy from the elements	-0.116	eV/atom
energy above the lowest structure with this stoichiometry	0.0	meV/atom
energy	-31.38	eV/cell



# 7
Here is a relaxed Li5Tl4Ag2 crystal from the Alexandria database. Energies are from PBE.

a b c (Å): 7.5868 17.7041 3.2881
angles (deg): 90.00 90.00 90.00
Closest atoms and distances in Å follow each position.
Space group Pbam (No. 55)
One atom of each set of equivalent atoms:
Li (0.0000, 0.0000, 0.0000) x2  8 Tl 3.01-3.13, 4 Li 3.08-3.29
Li (0.1341, 0.4244, 0.0000) x4  2 Ag 2.76, 6 Tl 2.98-3.03, 1 Li 3.08
Li (0.2469, 0.2137, 0.0000) x4  4 Ag 2.79
Tl (0.0761, 0.8530, 0.5000) x4  2 Ag 2.94-3.03, 8 Li 3.02-3.25, 3 Tl 3.22-3.29
Tl (0.2004, 0.5619, 0.5000) x4  1 Ag 2.97, 8 Li 2.98-3.17, 3 Tl 3.22-3.29
Ag (0.0405, 0.3056, 0.5000) x4  6 Li 2.76-2.79, 3 Tl 2.94-3.03

Properties
formation energy from the elements	-0.194	eV/atom
energy above the lowest structure with this stoichiometry	0.0	meV/atom
energy	-53.75	eV/cell



# 8
Here is a relaxed Li3TlAg3 crystal from the Alexandria database. Energies are from PBE.

a b c (Å): 7.0869 7.0869 17.8718
angles (deg): 90.00 90.00 120.00
Closest atoms and distances in Å follow each position.
Space group R-3 (No. 148, hexagonal axes)
One atom of each set of equivalent atoms:
Li (0.0190, 0.2461, 0.0630) x18  4 Ag 2.65-2.88, 1 Tl 2.78, 4 Li 2.81-2.91
Tl (0.0000, 0.0000, 0.3569) x6  3 Li 2.78, 3 Ag 3.10
Ag (0.0437, 0.2653, 0.2108) x18  4 Li 2.65-2.88

Properties
formation energy from the elements	-0.059	eV/atom
energy above the lowest structure with this stoichiometry	56.5	meV/atom
energy	-102.45	eV/cell



# 9
Here is a relaxed Li12TlAg6 crystal from the Alexandria database. Energies are from PBE.

a b c (Å): 9.9997 9.9997 12.0518
angles (deg): 90.00 90.00 120.00
Closest atoms and distances in Å follow each position.
Space group R-3 (No. 148, hexagonal axes)
One atom of each set of equivalent atoms:
Li (0.0333, 0.1906, 0.3121) x18  4 Ag 2.79-3.00, 5 Li 2.81-3.10, 1 Tl 2.87
Li (0.0583, 0.8391, 0.9141) x18  4 Ag 2.75-2.83, 4 Li 2.84-2.96
Tl (0.0000, 0.0000, 0.5000) x3  6 Li 2.87, 6 Ag 2.94
Ag (0.0109, 0.4257, 0.2038) x18  8 Li 2.75-3.00, 1 Tl 2.94, 2 Ag 3.04

Properties
formation energy from the elements	-0.129	eV/atom
energy above the lowest structure with this stoichiometry	59.6	meV/atom
energy	-134.65	eV/cell



# 10
Here is a relaxed Li7TlAg3 crystal from the Alexandria database. Energies are from PBE.

a b c (Å): 2.9544 21.0170 13.0175
angles (deg): 90.00 90.00 90.00
Closest atoms and distances in Å follow each position.
Space group Cmcm (No. 63)
One atom of each set of equivalent atoms:
Li (0.0000, 0.0471, 0.0738) x8  2 Ag 2.68, 4 Li 2.76-2.95, 2 Tl 2.82
Li (0.0000, 0.0926, 0.6319) x8  4 Ag 2.79-2.90, 6 Li 2.84-3.08, 2 Tl 3.08
Li (0.0000, 0.1571, 0.2500) x4  4 Li 2.95-3.26, 4 Ag 3.16
Li (0.0000, 0.2306, 0.5990) x8  5 Ag 2.63-2.84, 1 Li 2.93
Tl (0.0000, 0.4871, 0.7500) x4  8 Li 2.82-3.08, 2 Tl 2.95
Ag (0.0000, 0.3216, 0.2500) x4  8 Li 2.69-2.79, 2 Ag 2.95
Ag (0.0000, 0.3491, 0.5355) x8  7 Li 2.63-2.90

Properties
formation energy from the elements	-0.135	eV/atom
energy above the lowest structure with this stoichiometry	0.0	meV/atom
energy	-103.23	eV/cell



# 11
Here is a relaxed LiTlAg2 crystal from the Alexandria database. Energies are from PBE.

a b c (Å): 5.8988 9.7509 3.0437
angles (deg): 90.00 115.76 90.00
Closest atoms and distances in Å follow each position.
Space group C2/m (No. 12)
One atom of each set of equivalent atoms:
Li (0.0000, 0.0000, 0.0000) x2  4 Ag 2.91, 4 Tl 2.95-3.19, 2 Li 3.04
Tl (0.0000, 0.5000, 0.0000) x2  4 Ag 2.91, 4 Li 2.95-3.19, 2 Tl 3.04
Ag (0.2500, 0.2500, 0.5000) x4  2 Tl 2.91, 2 Li 2.91, 6 Ag 2.95-3.19

Properties
formation energy from the elements	-0.033	eV/atom
energy	-20.23	eV/cell



# 12
Here is a relaxed Li2TlAg crystal from the Alexandria database. Energies are from PBE.

a b c (Å): 7.4885 7.4885 5.8078
angles (deg): 90.00 90.00 90.00
Closest atoms and distances in Å follow each position.
Space group I-42d (No. 122)
One atom of each set of equivalent atoms:
Li (0.2300, 0.2500, 0.1250) x8  2 Ag 2.65, 2 Tl 2.85, 2 Li 2.92
Tl (0.0000, 0.0000, 0.5000) x4  4 Li 2.85, 2 Ag 2.90
Ag (0.0000, 0.0000, 0.0000) x4  4 Li 2.65, 2 Tl 2.90

Properties
formation energy from the elements	-0.046	eV/atom
energy	-36.92	eV/cell